No. 1
Below is SnAuI6 after structural relaxation, with properties calculated at the PBE level.

```
8
Lattice="6.498 0.000 0.000 0.749 7.845 0.000 2.588 1.138 8.020" Properties=species:S:1:pos:R:3 pbc="T T T"
Sn 0.000 0.000 0.000
Au 3.624 3.923 0.000
I 1.649 2.426 1.118
I 2.786 5.946 1.531
I 4.410 8.505 5.338
I 5.425 0.478 2.682
I 7.049 3.037 6.489
I 8.186 6.557 6.902
```

Values from the calculation:
- Calculated total energy: -2.24 eV/atom
- Crystal system: triclinic
- ΔE_f (raw): -16.0 kJ per mole of atoms
- Total magnetization: 0.000 μB/cell

***

No. 2
Below is RbInSCl2 after structural relaxation, with properties calculated at the PBE level.

```
5
Lattice="6.141 0.000 0.000 0.000 6.141 0.000 0.000 0.000 5.999" Properties=species:S:1:pos:R:3 pbc="T T T"
Rb 0.000 0.000 0.000
In 3.070 3.070 2.999
S 0.000 0.000 2.999
Cl 0.000 3.070 0.000
Cl 3.070 0.000 0.000
```

Values from the calculation:
- Calculated total energy: -2.47 eV/atom
- Crystal system: tetragonal
- ΔE_f (raw): -16.3 kJ per mole of atoms
- Total magnetization: 2.064 μB/cell

***

No. 3
Below is BeAu2Br after structural relaxation, with properties calculated at the PBE level.

```
4
Lattice="-1.532 2.666 6.774 1.532 -2.666 6.774 1.532 2.666 -6.774" Properties=species:S:1:pos:R:3 pbc="T T T"
Be 0.000 0.000 0.000
Au 0.000 0.000 5.345
Au 0.000 2.666 5.037
Br 1.532 0.000 1.544
```

Values from the calculation:
- Calculated total energy: -2.96 eV/atom
- Crystal system: orthorhombic
- ΔE_f (raw): 2.4 kJ per mole of atoms
- Total magnetization: 0.000 μB/cell

***

No. 4
Below is LiAlSe2 after structural relaxation, with properties calculated at the PBE level.

```
4
Lattice="4.535 0.000 0.000 0.000 3.482 0.000 -0.622 0.000 6.655" Properties=species:S:1:pos:R:3 pbc="T T T"
Li 0.000 0.000 0.000
Al -0.311 0.000 3.328
Se 0.437 1.741 4.888
Se 3.477 1.741 1.767
```

Values from the calculation:
- Calculated total energy: -3.89 eV/atom
- Crystal system: monoclinic
- ΔE_f (raw): -70.9 kJ per mole of atoms
- Total magnetization: 0.000 μB/cell

***

No. 5
Below is HoGa2P2Pt7 after structural relaxation, with properties calculated at the PBE level.

```
12
Lattice="2.762 -2.777 0.000 2.762 2.777 0.000 -1.537 0.000 14.280" Properties=species:S:1:pos:R:3 pbc="T T T"
Ho 0.000 0.000 0.000
Ga 0.074 0.000 6.052
Ga 3.914 0.000 8.228
P 1.220 0.000 10.710
P 2.769 0.000 3.570
Pt 1.388 1.388 2.226
Pt 1.329 0.000 8.436
Pt 2.600 1.388 12.054
Pt 2.762 0.000 0.000
Pt 1.388 -1.388 2.226
Pt 2.660 0.000 5.844
Pt 2.600 -1.388 12.054
```

Values from the calculation:
- Calculated total energy: -5.97 eV/atom
- Crystal system: monoclinic
- Energy of formation from the pure elements: -0.6584 eV/atom
- Total magnetization: 0.000 μB/cell

***

No. 6
Below is ZrRe2Rh after structural relaxation, with properties calculated at the PBE level.

```
4
Lattice="2.830 0.000 0.000 0.000 4.466 0.000 -0.803 0.000 5.190" Properties=species:S:1:pos:R:3 pbc="T T T"
Zr 0.000 0.000 0.000
Re 0.799 0.000 2.556
Re 1.861 2.233 1.750
Rh 0.549 2.233 4.177
```

Values from the calculation:
- Calculated total energy: -10.32 eV/atom
- Crystal system: monoclinic
- Energy of formation from the pure elements: -0.1192 eV/atom
- Total magnetization: 0.000 μB/cell

***

No. 7
Below is Lu2PuBr after structural relaxation, with properties calculated at the PBE level.

```
4
Lattice="1.763 1.018 9.951 -1.763 1.018 9.951 0.000 -2.036 9.951" Properties=species:S:1:pos:R:3 pbc="T T T"
Lu 0.000 0.000 7.301
Lu 0.000 0.000 22.553
Pu 0.000 0.000 0.000
Br 0.000 0.000 14.927
```

Values from the calculation:
- Calculated total energy: -6.69 eV/atom
- Crystal system: trigonal
- ΔE_f (raw): -41.0 kJ per mole of atoms
- Total magnetization: 5.885 μB/cell

***

No. 8
Below is Pm4ThPd15 after structural relaxation, with properties calculated at the PBE level.

```
20
Lattice="4.188 0.000 0.000 0.000 4.188 0.000 0.000 0.000 20.995" Properties=species:S:1:pos:R:3 pbc="T T T"
Pm 0.000 0.000 2.101
Pm 0.000 0.000 6.274
Pm 0.000 0.000 14.720
Pm 0.000 0.000 18.894
Th 0.000 0.000 10.497
Pd 0.000 2.094 0.000
Pd 0.000 2.094 4.201
Pd 0.000 2.094 8.423
Pd 0.000 2.094 12.572
Pd 0.000 2.094 16.794
Pd 2.094 0.000 0.000
Pd 2.094 0.000 4.201
Pd 2.094 0.000 8.423
Pd 2.094 0.000 12.572
Pd 2.094 0.000 16.794
Pd 2.094 2.094 2.097
Pd 2.094 2.094 6.309
Pd 2.094 2.094 10.497
Pd 2.094 2.094 14.685
Pd 2.094 2.094 18.898
```

Values from the calculation:
- Calculated total energy: -6.06 eV/atom
- Crystal system: tetragonal
- Energy of formation from the pure elements: -0.8422 eV/atom
- Total magnetization: 0.000 μB/cell

***

No. 9
Below is Dy8Ho3Pu after structural relaxation, with properties calculated at the PBE level.

```
12
Lattice="-4.294 4.294 5.668 4.294 -4.294 5.668 4.294 4.294 -5.668" Properties=species:S:1:pos:R:3 pbc="T T T"
Dy 3.207 3.207 -3.029
Dy 1.986 1.986 -0.362
Dy 2.307 -2.307 6.030
Dy 1.087 1.087 2.639
Dy 1.087 -1.087 8.697
Dy 2.307 2.307 5.306
Dy -2.307 2.307 6.030
Dy -1.087 1.087 8.697
Ho 4.294 0.000 2.834
Ho 0.000 0.000 5.668
Ho 0.000 4.294 2.834
Pu 0.000 0.000 0.000
```

Values from the calculation:
- Calculated total energy: -4.81 eV/atom
- Crystal system: tetragonal
- Energy of formation from the pure elements: 0.5974 eV/atom
- Total magnetization: 4.193 μB/cell

***

No. 10
Below is Ba8As3AuBr4 after structural relaxation, with properties calculated at the PBE level.

```
16
Lattice="4.788 2.764 8.018 -4.788 2.764 8.018 0.000 -5.528 8.018" Properties=species:S:1:pos:R:3 pbc="T T T"
Ba -2.429 -1.402 13.803
Ba 0.000 0.000 5.763
Ba 0.000 -2.805 10.249
Ba -2.429 1.402 10.249
Ba 2.429 -1.402 13.803
Ba 0.000 2.805 13.803
Ba 0.000 0.000 18.289
Ba 2.429 1.402 10.249
As -4.788 0.000 12.026
As -2.394 1.382 4.009
As 2.394 1.382 4.009
Au 0.000 0.000 12.026
Br 0.000 0.000 0.000
Br -2.394 -1.382 8.018
Br -2.394 1.382 16.035
Br 0.000 2.764 8.018
```

Values from the calculation:
- Calculated total energy: -3.93 eV/atom
- Crystal system: trigonal
- ΔE_f (raw): -141.7 kJ per mole of atoms
- Total magnetization: 1.984 μB/cell

***

No. 11
Below is CsKRb2 after structural relaxation, with properties calculated at the PBE level.

```
4
Lattice="5.372 0.000 0.000 0.000 5.372 0.000 0.000 0.000 12.723" Properties=species:S:1:pos:R:3 pbc="T T T"
Cs 0.000 0.000 0.000
K 0.000 0.000 6.362
Rb 2.686 2.686 3.535
Rb 2.686 2.686 9.189
```

Values from the calculation:
- Calculated total energy: -0.97 eV/atom
- Crystal system: tetragonal
- Energy of formation from the pure elements: 0.0042 eV/atom
- Total magnetization: 0.000 μB/cell

***

No. 12
Below is K2BaCa after structural relaxation, with properties calculated at the PBE level.

```
4
Lattice="2.154 1.244 14.979 -2.154 1.244 14.979 0.000 -2.487 14.979" Properties=species:S:1:pos:R:3 pbc="T T T"
K 0.000 0.000 11.085
K 0.000 0.000 33.851
Ba 0.000 0.000 0.000
Ca 0.000 0.000 22.468
```

Values from the calculation:
- Calculated total energy: -1.39 eV/atom
- Crystal system: trigonal
- Energy of formation from the pure elements: 0.1420 eV/atom
- Total magnetization: 0.379 μB/cell

***

no.,ρ (kg/m³)
1,4374
2,2226
3,7243
4,3031
5,13126
6,14340
7,10439
8,10861
9,8100
10,4800
11,1551
12,1763